BRhF2 | meta-GGA SCAN | PBEsol geometry

Cell: 5.531 5.531 5.531 Å, 90.00 90.00 90.00°
Element x y z (fractional)
B: 0.000 0.000 0.000
B: 0.000 0.500 0.500
B: 0.500 0.000 0.500
B: 0.500 0.500 0.000
Rh: 0.000 0.000 0.500
Rh: 0.000 0.500 0.000
Rh: 0.500 0.000 0.000
Rh: 0.500 0.500 0.500
F: 0.250 0.250 0.250
F: 0.250 0.250 0.750
F: 0.250 0.750 0.250
F: 0.250 0.750 0.750
F: 0.750 0.250 0.250
F: 0.750 0.250 0.750
F: 0.750 0.750 0.250
F: 0.750 0.750 0.750

Density of states at the Fermi level: 6.4 states/eV/cell
Total DFT energy (no corrections): -11.76 eV per atom